No. 1
A plane-wave DFT calculation with PBE was carried out for a relaxed structure of LiHo2Pt9.

CIF file:
```
data_LiHo2Pt9
_chemical_formula_sum 'Li1 Ho2 Pt9'
_cell_length_a 4.0607
_cell_length_b 4.0607
_cell_length_c 12.0014
_cell_angle_alpha 90.00
_cell_angle_beta 90.00
_cell_angle_gamma 90.00
_symmetry_space_group_name_H-M 'P 4/m m m'
_symmetry_Int_Tables_number 123
_symmetry_space_group_name_Hall '-P 4 2'
loop_
_atom_site_label
_atom_site_fract_x
_atom_site_fract_y
_atom_site_fract_z
Li1 0.0000 0.0000 0.0000
Ho1 0.0000 0.0000 0.3254
Pt1 0.0000 0.5000 0.1519
Pt2 0.0000 0.5000 0.5000
Pt3 0.5000 0.5000 0.0000
Pt4 0.5000 0.5000 0.3272
```

Size of the total moment = 0.00 μB per formula unit
ΔE_f = -0.8107 eV/atom

***

No. 2
A plane-wave DFT calculation with PBE was carried out for a relaxed structure of Li2Ho3Pt3.

CIF file:
```
data_Li2Ho3Pt3
_chemical_formula_sum 'Li4 Ho6 Pt6'
_cell_length_a 8.3702
_cell_length_b 8.3702
_cell_length_c 5.5368
_cell_angle_alpha 90.00
_cell_angle_beta 90.00
_cell_angle_gamma 120.00
_symmetry_space_group_name_H-M 'P 63/m c m'
_symmetry_Int_Tables_number 193
_symmetry_space_group_name_Hall '-P 6c 2'
loop_
_atom_site_label
_atom_site_fract_x
_atom_site_fract_y
_atom_site_fract_z
Li1 0.3333 0.6667 0.0000
Ho1 0.0000 0.2769 0.2500
Pt1 0.0000 0.3809 0.7500
```

Size of the total moment = 0.00 μB per formula unit
ΔE_f = -0.9550 eV/atom

***

No. 3
A plane-wave DFT calculation with PBE was carried out for a relaxed structure of LiHoPt.

CIF file:
```
data_LiHoPt
_chemical_formula_sum 'Li4 Ho4 Pt4'
_cell_length_a 6.4812
_cell_length_b 6.4812
_cell_length_c 6.4812
_cell_angle_alpha 90.00
_cell_angle_beta 90.00
_cell_angle_gamma 90.00
_symmetry_space_group_name_H-M 'F -4 3 m'
_symmetry_Int_Tables_number 216
_symmetry_space_group_name_Hall 'F -4 2 3'
loop_
_atom_site_label
_atom_site_fract_x
_atom_site_fract_y
_atom_site_fract_z
Li1 0.0000 0.0000 0.0000
Ho1 0.0000 0.0000 0.5000
Pt1 0.2500 0.2500 0.7500
```

Size of the total moment = 0.00 μB per formula unit
ΔE_f = -0.7444 eV/atom
ΔE to the lowest computed polymorph = 0.45 eV per formula unit

***

No. 4
A plane-wave DFT calculation with PBE was carried out for a relaxed structure of Li2Ho3Pt6.

CIF file:
```
data_Li2Ho3Pt6
_chemical_formula_sum 'Li8 Ho12 Pt24'
_cell_length_a 9.4518
_cell_length_b 9.4518
_cell_length_c 9.4518
_cell_angle_alpha 90.00
_cell_angle_beta 90.00
_cell_angle_gamma 90.00
_symmetry_space_group_name_H-M 'I m -3 m'
_symmetry_Int_Tables_number 229
_symmetry_space_group_name_Hall '-I 4 2 3'
loop_
_atom_site_label
_atom_site_fract_x
_atom_site_fract_y
_atom_site_fract_z
Li1 0.2500 0.2500 0.2500
Ho1 0.0000 0.0000 0.3045
Pt1 0.0000 0.3341 0.3341
```

Size of the total moment = 0.00 μB per formula unit
ΔE_f = -0.9539 eV/atom

***

No. 5
A plane-wave DFT calculation with PBE was carried out for a relaxed structure of LiHoPt.

CIF file:
```
data_LiHoPt
_chemical_formula_sum 'Li1 Ho1 Pt1'
_cell_length_a 4.2818
_cell_length_b 4.2818
_cell_length_c 3.6453
_cell_angle_alpha 90.00
_cell_angle_beta 90.00
_cell_angle_gamma 120.00
_symmetry_space_group_name_H-M 'P -6 m 2'
_symmetry_Int_Tables_number 187
_symmetry_space_group_name_Hall 'P -6 2'
loop_
_atom_site_label
_atom_site_fract_x
_atom_site_fract_y
_atom_site_fract_z
Li1 0.0000 0.0000 0.0000
Ho1 0.6667 0.3333 0.5000
Pt1 0.3333 0.6667 0.0000
```

Size of the total moment = 0.00 μB per formula unit
ΔE_f = -0.7570 eV/atom
ΔE to the lowest computed polymorph = 0.42 eV per formula unit

***

No. 6
A plane-wave DFT calculation with PBE was carried out for a relaxed structure of Li2HoPt.

CIF file:
```
data_Li2HoPt
_chemical_formula_sum 'Li6 Ho3 Pt3'
_cell_length_a 4.5534
_cell_length_b 4.5534
_cell_length_c 11.1760
_cell_angle_alpha 90.00
_cell_angle_beta 90.00
_cell_angle_gamma 120.00
_symmetry_space_group_name_H-M 'R -3 m'
_symmetry_Int_Tables_number 166
_symmetry_space_group_name_Hall '-R 3 2"'
loop_
_atom_site_label
_atom_site_fract_x
_atom_site_fract_y
_atom_site_fract_z
Li1 0.0000 0.0000 0.2502
Ho1 0.0000 0.0000 0.5000
Pt1 0.0000 0.0000 0.0000
```

Size of the total moment = 0.00 μB per formula unit
ΔE_f = -0.4024 eV/atom
ΔE to the lowest computed polymorph = 0.38 eV per formula unit

***

No. 7
A plane-wave DFT calculation with PBE was carried out for a relaxed structure of LiHoPt2.

CIF file:
```
data_LiHoPt2
_chemical_formula_sum 'Li1 Ho1 Pt2'
_cell_length_a 4.2147
_cell_length_b 4.2147
_cell_length_c 3.8918
_cell_angle_alpha 90.00
_cell_angle_beta 90.00
_cell_angle_gamma 90.00
_symmetry_space_group_name_H-M 'P 4/m m m'
_symmetry_Int_Tables_number 123
_symmetry_space_group_name_Hall '-P 4 2'
loop_
_atom_site_label
_atom_site_fract_x
_atom_site_fract_y
_atom_site_fract_z
Li1 0.0000 0.0000 0.0000
Ho1 0.5000 0.5000 0.0000
Pt1 0.0000 0.5000 0.5000
```

Size of the total moment = 0.00 μB per formula unit
ΔE_f = -0.9684 eV/atom

***

No. 8
A plane-wave DFT calculation with PBE was carried out for a relaxed structure of LiHoPt4.

CIF file:
```
data_LiHoPt4
_chemical_formula_sum 'Li4 Ho4 Pt16'
_cell_length_a 7.5548
_cell_length_b 7.5548
_cell_length_c 7.5548
_cell_angle_alpha 90.00
_cell_angle_beta 90.00
_cell_angle_gamma 90.00
_symmetry_space_group_name_H-M 'F -4 3 m'
_symmetry_Int_Tables_number 216
_symmetry_space_group_name_Hall 'F -4 2 3'
loop_
_atom_site_label
_atom_site_fract_x
_atom_site_fract_y
_atom_site_fract_z
Li1 0.0000 0.0000 0.0000
Ho1 0.2500 0.2500 0.2500
Pt1 0.1254 0.1254 0.6254
```

Size of the total moment = 0.00 μB per formula unit
ΔE_f = -0.8691 eV/atom

***

No. 9
A plane-wave DFT calculation with PBE was carried out for a relaxed structure of LiHoPt2.

CIF file:
```
data_LiHoPt2
_chemical_formula_sum 'Li4 Ho4 Pt8'
_cell_length_a 6.1189
_cell_length_b 6.1320
_cell_length_c 7.5041
_cell_angle_alpha 90.00
_cell_angle_beta 90.00
_cell_angle_gamma 90.00
_symmetry_space_group_name_H-M 'F m m m'
_symmetry_Int_Tables_number 69
_symmetry_space_group_name_Hall '-F 2 2'
loop_
_atom_site_label
_atom_site_fract_x
_atom_site_fract_y
_atom_site_fract_z
Li1 0.0000 0.0000 0.0000
Ho1 0.0000 0.0000 0.5000
Pt1 0.2500 0.2500 0.2500
```

Size of the total moment = 0.00 μB per formula unit
ΔE_f = -0.9422 eV/atom

***

No. 10
A plane-wave DFT calculation with PBE was carried out for a relaxed structure of Li4HoPt2.

CIF file:
```
data_Li4HoPt2
_chemical_formula_sum 'Li8 Ho2 Pt4'
_cell_length_a 7.5544
_cell_length_b 7.5544
_cell_length_c 4.1071
_cell_angle_alpha 90.00
_cell_angle_beta 90.00
_cell_angle_gamma 90.00
_symmetry_space_group_name_H-M 'P 42/m n m'
_symmetry_Int_Tables_number 136
_symmetry_space_group_name_Hall '-P 4n 2n'
loop_
_atom_site_label
_atom_site_fract_x
_atom_site_fract_y
_atom_site_fract_z
Li1 0.0988 0.3470 0.0000
Ho1 0.0000 0.0000 0.5000
Pt1 0.2047 0.7953 0.0000
```

Size of the total moment = 0.00 μB per formula unit
ΔE_f = -0.6081 eV/atom

***

No. 11
A plane-wave DFT calculation with PBE was carried out for a relaxed structure of LiHo2Pt3.

CIF file:
```
data_LiHo2Pt3
_chemical_formula_sum 'Li2 Ho4 Pt6'
_cell_length_a 9.4269
_cell_length_b 4.3766
_cell_length_c 5.6068
_cell_angle_alpha 90.00
_cell_angle_beta 95.78
_cell_angle_gamma 90.00
_symmetry_space_group_name_H-M 'C 1 2/m 1'
_symmetry_Int_Tables_number 12
_symmetry_space_group_name_Hall '-C 2y'
loop_
_atom_site_label
_atom_site_fract_x
_atom_site_fract_y
_atom_site_fract_z
Li1 0.0000 0.0000 0.0000
Ho1 0.1914 0.5000 0.7246
Pt1 0.0000 0.0000 0.5000
Pt2 0.1099 0.5000 0.2109
```

Size of the total moment = 0.00 μB per formula unit
ΔE_f = -1.0945 eV/atom

***

No. 12
A plane-wave DFT calculation with PBE was carried out for a relaxed structure of Li3HoPt2.

CIF file:
```
data_Li3HoPt2
_chemical_formula_sum 'Li12 Ho4 Pt8'
_cell_length_a 13.5022
_cell_length_b 4.0987
_cell_length_c 8.4119
_cell_angle_alpha 90.00
_cell_angle_beta 119.66
_cell_angle_gamma 90.00
_symmetry_space_group_name_H-M 'C 1 2/m 1'
_symmetry_Int_Tables_number 12
_symmetry_space_group_name_Hall '-C 2y'
loop_
_atom_site_label
_atom_site_fract_x
_atom_site_fract_y
_atom_site_fract_z
Li1 0.0581 0.0000 0.3940
Li2 0.0813 0.5000 0.6920
Li3 0.2244 0.5000 0.5563
Ho1 0.1342 0.0000 0.0152
Pt1 0.0647 0.5000 0.1918
Pt2 0.2082 0.0000 0.7455
```

Size of the total moment = 0.00 μB per formula unit
ΔE_f = -0.7079 eV/atom

***

No. 13
A plane-wave DFT calculation with PBE was carried out for a relaxed structure of LiHoPuPt.

CIF file:
```
data_LiHoPuPt
_chemical_formula_sum 'Li4 Ho4 Pu4 Pt4'
_cell_length_a 7.0198
_cell_length_b 7.0198
_cell_length_c 7.0198
_cell_angle_alpha 90.00
_cell_angle_beta 90.00
_cell_angle_gamma 90.00
_symmetry_space_group_name_H-M 'F -4 3 m'
_symmetry_Int_Tables_number 216
_symmetry_space_group_name_Hall 'F -4 2 3'
loop_
_atom_site_label
_atom_site_fract_x
_atom_site_fract_y
_atom_site_fract_z
Li1 0.0000 0.0000 0.0000
Ho1 0.2500 0.2500 0.7500
Pu1 0.2500 0.2500 0.2500
Pt1 0.0000 0.0000 0.5000
```

Size of the total moment = 5.75 μB per formula unit
ΔE_f = -0.4672 eV/atom

***

No. 14
A plane-wave DFT calculation with PBE was carried out for a relaxed structure of LiHoPtRh.

CIF file:
```
data_LiHoPtRh
_chemical_formula_sum 'Li4 Ho4 Pt4 Rh4'
_cell_length_a 6.4902
_cell_length_b 6.4902
_cell_length_c 6.4902
_cell_angle_alpha 90.00
_cell_angle_beta 90.00
_cell_angle_gamma 90.00
_symmetry_space_group_name_H-M 'F -4 3 m'
_symmetry_Int_Tables_number 216
_symmetry_space_group_name_Hall 'F -4 2 3'
loop_
_atom_site_label
_atom_site_fract_x
_atom_site_fract_y
_atom_site_fract_z
Li1 0.0000 0.0000 0.0000
Ho1 0.0000 0.0000 0.5000
Pt1 0.2500 0.2500 0.2500
Rh1 0.2500 0.2500 0.7500
```

Size of the total moment = 0.00 μB per formula unit
ΔE_f = -0.7397 eV/atom
ΔE to the lowest computed polymorph = 0.12 eV per formula unit

***

No. 15
A plane-wave DFT calculation with PBE was carried out for a relaxed structure of LiHoPtRh.

CIF file:
```
data_LiHoPtRh
_chemical_formula_sum 'Li1 Ho1 Pt1 Rh1'
_cell_length_a 3.7816
_cell_length_b 4.1169
_cell_length_c 4.3201
_cell_angle_alpha 90.00
_cell_angle_beta 90.00
_cell_angle_gamma 90.00
_symmetry_space_group_name_H-M 'P m m m'
_symmetry_Int_Tables_number 47
_symmetry_space_group_name_Hall '-P 2 2'
loop_
_atom_site_label
_atom_site_fract_x
_atom_site_fract_y
_atom_site_fract_z
Li1 0.0000 0.0000 0.0000
Ho1 0.0000 0.5000 0.5000
Pt1 0.5000 0.5000 0.0000
Rh1 0.5000 0.0000 0.5000
```

Size of the total moment = 0.00 μB per formula unit
ΔE_f = -0.7698 eV/atom
ΔE to the lowest computed polymorph = 0.00 eV per formula unit

***

No. 16
A plane-wave DFT calculation with PBE was carried out for a relaxed structure of LiHoSbPt.

CIF file:
```
data_LiHoSbPt
_chemical_formula_sum 'Li4 Ho4 Sb4 Pt4'
_cell_length_a 6.8008
_cell_length_b 6.8008
_cell_length_c 6.8008
_cell_angle_alpha 90.00
_cell_angle_beta 90.00
_cell_angle_gamma 90.00
_symmetry_space_group_name_H-M 'F -4 3 m'
_symmetry_Int_Tables_number 216
_symmetry_space_group_name_Hall 'F -4 2 3'
loop_
_atom_site_label
_atom_site_fract_x
_atom_site_fract_y
_atom_site_fract_z
Li1 0.0000 0.0000 0.0000
Ho1 0.2500 0.2500 0.7500
Sb1 0.2500 0.2500 0.2500
Pt1 0.0000 0.0000 0.5000
```

Size of the total moment = 0.00 μB per formula unit
Formation energy from raw total energies = -3.0 eV per formula unit

***

No. 17
A plane-wave DFT calculation with PBE was carried out for a relaxed structure of LiHoScPt.

CIF file:
```
data_LiHoScPt
_chemical_formula_sum 'Li4 Ho4 Sc4 Pt4'
_cell_length_a 6.8139
_cell_length_b 6.8139
_cell_length_c 6.8139
_cell_angle_alpha 90.00
_cell_angle_beta 90.00
_cell_angle_gamma 90.00
_symmetry_space_group_name_H-M 'F -4 3 m'
_symmetry_Int_Tables_number 216
_symmetry_space_group_name_Hall 'F -4 2 3'
loop_
_atom_site_label
_atom_site_fract_x
_atom_site_fract_y
_atom_site_fract_z
Li1 0.0000 0.0000 0.0000
Ho1 0.2500 0.2500 0.7500
Sc1 0.2500 0.2500 0.2500
Pt1 0.0000 0.0000 0.5000
```

Size of the total moment = 0.00 μB per formula unit
ΔE_f = -0.6933 eV/atom

***

No. 18
A plane-wave DFT calculation with PBE was carried out for a relaxed structure of LiSmHoPt.

CIF file:
```
data_LiSmHoPt
_chemical_formula_sum 'Li4 Sm4 Ho4 Pt4'
_cell_length_a 7.1050
_cell_length_b 7.1050
_cell_length_c 7.1050
_cell_angle_alpha 90.00
_cell_angle_beta 90.00
_cell_angle_gamma 90.00
_symmetry_space_group_name_H-M 'F -4 3 m'
_symmetry_Int_Tables_number 216
_symmetry_space_group_name_Hall 'F -4 2 3'
loop_
_atom_site_label
_atom_site_fract_x
_atom_site_fract_y
_atom_site_fract_z
Li1 0.0000 0.0000 0.0000
Sm1 0.2500 0.2500 0.2500
Ho1 0.2500 0.2500 0.7500
Pt1 0.0000 0.0000 0.5000
```

Size of the total moment = 0.00 μB per formula unit
ΔE_f = -0.6233 eV/atom

***

No. 19
A plane-wave DFT calculation with PBE was carried out for a relaxed structure of SrLi2HoPt2.

CIF file:
```
data_SrLi2HoPt2
_chemical_formula_sum 'Sr1 Li2 Ho1 Pt2'
_cell_length_a 4.4063
_cell_length_b 4.4063
_cell_length_c 7.6477
_cell_angle_alpha 90.00
_cell_angle_beta 90.00
_cell_angle_gamma 120.00
_symmetry_space_group_name_H-M 'P -3 m 1'
_symmetry_Int_Tables_number 164
_symmetry_space_group_name_Hall '-P 3 2"'
loop_
_atom_site_label
_atom_site_fract_x
_atom_site_fract_y
_atom_site_fract_z
Sr1 0.0000 0.0000 0.0000
Li1 0.3333 0.6667 0.7163
Ho1 0.0000 0.0000 0.5000
Pt1 0.3333 0.6667 0.2972
```

Size of the total moment = 0.00 μB per formula unit
ΔE_f = -0.7370 eV/atom

***

No. 20
A plane-wave DFT calculation with PBE was carried out for a relaxed structure of LiHoThPt.

CIF file:
```
data_LiHoThPt
_chemical_formula_sum 'Li4 Ho4 Th4 Pt4'
_cell_length_a 7.1664
_cell_length_b 7.1664
_cell_length_c 7.1664
_cell_angle_alpha 90.00
_cell_angle_beta 90.00
_cell_angle_gamma 90.00
_symmetry_space_group_name_H-M 'F -4 3 m'
_symmetry_Int_Tables_number 216
_symmetry_space_group_name_Hall 'F -4 2 3'
loop_
_atom_site_label
_atom_site_fract_x
_atom_site_fract_y
_atom_site_fract_z
Li1 0.0000 0.0000 0.0000
Ho1 0.2500 0.2500 0.2500
Th1 0.2500 0.2500 0.7500
Pt1 0.0000 0.0000 0.5000
```

Size of the total moment = 0.00 μB per formula unit
ΔE_f = -0.5029 eV/atom

***

no.,final energy (eV per cell)
1,-75.165
2,-86.647
3,-59.062
4,-257.196
5,-14.803
6,-48.167
7,-22.447
8,-143.477
9,-89.368
10,-57.142
11,-71.517
12,-106.593
13,-114.932
14,-91.370
15,-22.963
16,-78.687
17,-86.548
18,-78.979
19,-26.591
20,-87.856